Entry 1:
Density functional theory data (PBE) for a relaxed NaAg3Bi2 crystal.

Cell: 15.872 4.433 9.556 Å, 90.00 112.82 90.00°
Space group C2/m (No. 12)
One atom of each set of equivalent atoms:
Na 0.126 0.000 0.481 (multiplicity 4)
Ag 0.055 0.000 0.905 (multiplicity 4)
Ag 0.073 0.500 0.155 (multiplicity 4)
Ag 0.196 0.500 0.005 (multiplicity 4)
Bi 0.054 0.500 0.683 (multiplicity 4)
Bi 0.217 0.000 0.225 (multiplicity 4)

Computed properties:
Formation energy = -0.0269 eV per atom
DOS at the Fermi energy = 6.9 states/eV per cell



Entry 2:
Density functional theory data (PBE) for a relaxed Ta4ReW2 crystal.

Cell: 14.458 2.698 7.242 Å, 90.00 119.75 90.00°
Space group C2/m (No. 12)
One atom of each set of equivalent atoms:
Ta 0.074 0.000 0.431 (multiplicity 4)
Ta 0.141 0.500 0.864 (multiplicity 4)
Re 0.000 0.000 0.000 (multiplicity 2)
W 0.217 0.000 0.288 (multiplicity 4)

Computed properties:
Formation energy = 0.2516 eV per atom
DOS at the Fermi energy = 9.3 states/eV per cell



Entry 3:
Density functional theory data (PBE) for a relaxed AuSeO crystal.

Cell: 3.985 4.004 4.627 Å, 66.77 65.43 79.37°
Space group P1 (No. 1)
One atom of each set of equivalent atoms:
Au 0.000 0.000 0.000 (multiplicity 1)
Se 0.550 0.532 0.239 (multiplicity 1)
O 0.457 0.369 0.682 (multiplicity 1)

Computed properties:
DOS at the Fermi energy = 1.8 states/eV per cell
Energy relative to the elements, uncorrected = -0.056 eV per atom



Entry 4:
Density functional theory data (PBE) for a relaxed CuAs crystal.

Cell: 3.9725 3.9725 16.0222 Å, 90.00 90.00 120.00°
Space group R-3m (No. 166, hexagonal axes)
One atom of each set of equivalent atoms:
Cu 0.0000 0.0000 0.1351 (multiplicity 6)
As 0.0000 0.0000 0.4163 (multiplicity 6)

Computed properties:
Formation energy = 0.1512 eV per atom
DOS at the Fermi energy = 3.6 states/eV per cell



Entry 5:
Density functional theory data (PBE) for a relaxed La3SmZn8 crystal.

Cell: 5.6371 5.6371 27.4717 Å, 90.00 90.00 120.00°
Space group R3m (No. 160, hexagonal axes)
One atom of each set of equivalent atoms:
La 0.0000 0.0000 0.0000 (multiplicity 3)
La 0.0000 0.0000 0.1245 (multiplicity 3)
La 0.0000 0.0000 0.6260 (multiplicity 3)
Sm 0.0000 0.0000 0.5010 (multiplicity 3)
Zn 0.0000 0.0000 0.3130 (multiplicity 3)
Zn 0.0000 0.0000 0.8131 (multiplicity 3)
Zn 0.0029 0.5014 0.0638 (multiplicity 9)
Zn 0.1672 0.3344 0.8951 (multiplicity 9)

Computed properties:
Formation energy = -0.3280 eV per atom
DOS at the Fermi energy = 14.3 states/eV per cell



Entry 6:
Density functional theory data (PBE) for a relaxed Pu2NpRh3 crystal.

Cell: 3.941 5.600 11.945 Å, 90.00 90.00 90.00°
Space group Immm (No. 71)
One atom of each set of equivalent atoms:
Pu 0.000 0.000 0.167 (multiplicity 4)
Np 0.000 0.000 0.500 (multiplicity 2)
Rh 0.000 0.500 0.159 (multiplicity 4)
Rh 0.000 0.500 0.500 (multiplicity 2)

Computed properties:
Formation energy = -0.2664 eV per atom
DOS at the Fermi energy = 43.0 states/eV per cell



Entry 7:
Density functional theory data (PBE) for a relaxed NaMgHCl2 crystal.

Cell: 5.085 5.085 3.696 Å, 90.00 90.00 90.00°
Space group P4/mmm (No. 123)
One atom of each set of equivalent atoms:
Na 0.000 0.000 0.000 (multiplicity 1)
Mg 0.500 0.500 0.500 (multiplicity 1)
H 0.500 0.500 0.000 (multiplicity 1)
Cl 0.000 0.500 0.500 (multiplicity 2)

Computed properties:
DOS at the Fermi energy = 0.0 states/eV per cell
Calculated total energy = -3.246 eV per atom



Entry 8:
Density functional theory data (PBE) for a relaxed BaGe3O crystal.

Cell: 5.925 5.925 5.925 Å, 90.00 90.00 90.00°
Space group Pm-3m (No. 221)
One atom of each set of equivalent atoms:
Ba 0.000 0.000 0.000 (multiplicity 1)
Ge 0.000 0.000 0.500 (multiplicity 3)
O 0.500 0.500 0.500 (multiplicity 1)

Computed properties:
DOS at the Fermi energy = 12.0 states/eV per cell
Energy relative to the elements, uncorrected = 1.831 eV per atom



Entry 9:
Density functional theory data (PBE) for a relaxed LaMg2Au crystal.

Cell: 4.068 4.872 5.497 Å, 90.00 105.07 90.00°
Space group P2/m (No. 10)
One atom of each set of equivalent atoms:
La 0.000 0.000 0.000 (multiplicity 1)
Mg 0.357 0.500 0.713 (multiplicity 2)
Au 0.500 0.000 0.500 (multiplicity 1)

Computed properties:
Formation energy = -0.3243 eV per atom
DOS at the Fermi energy = 2.8 states/eV per cell



Entry 10:
Density functional theory data (PBE) for a relaxed ZnTe2N2 crystal.

Cell: 3.978 3.978 6.701 Å, 90.00 90.00 90.00°
Space group P4/mmm (No. 123)
One atom of each set of equivalent atoms:
Zn 0.000 0.000 0.000 (multiplicity 1)
Te 0.500 0.500 0.000 (multiplicity 1)
Te 0.500 0.500 0.500 (multiplicity 1)
N 0.000 0.500 0.500 (multiplicity 2)

Computed properties:
DOS at the Fermi energy = 2.3 states/eV per cell
Energy relative to the elements, uncorrected = 1.247 eV per atom



Entry 11:
Density functional theory data (PBE) for a relaxed HfCO2 crystal.

Cell: 6.307 6.307 8.999 Å, 90.00 90.00 90.00°
Space group I-42d (No. 122)
One atom of each set of equivalent atoms:
Hf 0.000 0.000 0.000 (multiplicity 4)
C 0.000 0.000 0.500 (multiplicity 4)
O 0.027 0.250 0.125 (multiplicity 8)

Computed properties:
DOS at the Fermi energy = 95.0 states/eV per cell
Energy relative to the elements, uncorrected = -0.573 eV per atom



Entry 12:
Density functional theory data (PBE) for a relaxed YAg2Te crystal.

Cell: 8.297 8.297 5.888 Å, 90.00 90.00 90.00°
Space group I-42d (No. 122)
One atom of each set of equivalent atoms:
Y 0.000 0.000 0.000 (multiplicity 4)
Ag 0.228 0.250 0.625 (multiplicity 8)
Te 0.000 0.000 0.500 (multiplicity 4)

Computed properties:
DOS at the Fermi energy = 13.2 states/eV per cell
Energy relative to the elements, uncorrected = -0.259 eV per atom



Entry 13:
Density functional theory data (PBE) for a relaxed ErRu2W crystal.

Cell: 6.449 6.449 6.449 Å, 90.00 90.00 90.00°
Space group Fm-3m (No. 225)
One atom of each set of equivalent atoms:
Er 0.000 0.000 0.000 (multiplicity 4)
Ru 0.250 0.250 0.250 (multiplicity 8)
W 0.000 0.000 0.500 (multiplicity 4)

Computed properties:
Formation energy = -0.0459 eV per atom
DOS at the Fermi energy = 19.4 states/eV per cell



Entry 14:
Density functional theory data (PBE) for a relaxed Sb2RuPt crystal.

Cell: 3.984 3.984 9.536 Å, 90.00 90.00 90.00°
Space group I-4m2 (No. 119)
One atom of each set of equivalent atoms:
Sb 0.000 0.000 0.000 (multiplicity 2)
Sb 0.000 0.500 0.250 (multiplicity 2)
Ru 0.000 0.000 0.500 (multiplicity 2)
Pt 0.000 0.500 0.750 (multiplicity 2)

Computed properties:
DOS at the Fermi energy = 6.4 states/eV per cell
Energy relative to the elements, uncorrected = 0.158 eV per atom



Entry 15:
Density functional theory data (PBE) for a relaxed Li2RuS2 crystal.

Cell: 3.335 3.335 12.143 Å, 90.00 90.00 90.00°
Space group I4/mmm (No. 139)
One atom of each set of equivalent atoms:
Li 0.000 0.500 0.250 (multiplicity 4)
Ru 0.000 0.000 0.000 (multiplicity 2)
S 0.000 0.000 0.389 (multiplicity 4)

Computed properties:
DOS at the Fermi energy = 5.3 states/eV per cell
Energy relative to the elements, uncorrected = -0.134 eV per atom



Entry 16:
Density functional theory data (PBE) for a relaxed TbLuGaNi crystal.

Cell: 6.916 6.916 6.916 Å, 90.00 90.00 90.00°
Space group F-43m (No. 216)
One atom of each set of equivalent atoms:
Tb 0.000 0.000 0.000 (multiplicity 4)
Lu 0.000 0.000 0.500 (multiplicity 4)
Ga 0.250 0.250 0.750 (multiplicity 4)
Ni 0.250 0.250 0.250 (multiplicity 4)

Computed properties:
Formation energy = -0.4652 eV per atom
DOS at the Fermi energy = 14.5 states/eV per cell



Entry 17:
Density functional theory data (PBE) for a relaxed Sc4Zn5Hg crystal.

Cell: 14.162 4.681 5.814 Å, 90.00 104.85 90.00°
Space group C2/m (No. 12)
One atom of each set of equivalent atoms:
Sc 0.102 0.000 0.372 (multiplicity 4)
Sc 0.195 0.500 0.822 (multiplicity 4)
Zn 0.000 0.500 0.000 (multiplicity 2)
Zn 0.098 0.000 0.893 (multiplicity 4)
Zn 0.206 0.500 0.316 (multiplicity 4)
Hg 0.000 0.500 0.500 (multiplicity 2)

Computed properties:
Formation energy = -0.3175 eV per atom
DOS at the Fermi energy = 12.8 states/eV per cell



Entry 18:
Density functional theory data (PBE) for a relaxed BaOs2Pb2 crystal.

Cell: 4.912 4.912 10.599 Å, 90.00 90.00 90.00°
Space group I4/mmm (No. 139)
One atom of each set of equivalent atoms:
Ba 0.000 0.000 0.000 (multiplicity 2)
Os 0.000 0.000 0.389 (multiplicity 4)
Pb 0.000 0.500 0.250 (multiplicity 4)

Computed properties:
Formation energy = 0.3623 eV per atom
DOS at the Fermi energy = 13.0 states/eV per cell



Entry 19:
Density functional theory data (PBE) for a relaxed Pd2RuBrCl crystal.

Cell: 4.627 4.627 6.268 Å, 90.00 90.00 90.00°
Space group P4/mmm (No. 123)
One atom of each set of equivalent atoms:
Pd 0.000 0.500 0.000 (multiplicity 2)
Ru 0.000 0.000 0.500 (multiplicity 1)
Br 0.500 0.500 0.000 (multiplicity 1)
Cl 0.500 0.500 0.500 (multiplicity 1)

Computed properties:
DOS at the Fermi energy = 9.8 states/eV per cell
Energy relative to the elements, uncorrected = 1.230 eV per atom



Entry 20:
Density functional theory data (PBE) for a relaxed CdCoP2S crystal.

Cell: 4.220 4.220 5.221 Å, 90.00 90.00 90.00°
Space group P4/mmm (No. 123)
One atom of each set of equivalent atoms:
Cd 0.000 0.000 0.000 (multiplicity 1)
Co 0.500 0.500 0.500 (multiplicity 1)
P 0.000 0.500 0.500 (multiplicity 2)
S 0.500 0.500 0.000 (multiplicity 1)

Computed properties:
DOS at the Fermi energy = 4.3 states/eV per cell
Energy relative to the elements, uncorrected = 0.351 eV per atom



Entry 21:
Density functional theory data (PBE) for a relaxed In6GaPb4 crystal.

Cell: 7.725 8.938 18.521 Å, 90.00 99.57 90.00°
Space group C2/c (No. 15)
One atom of each set of equivalent atoms:
In 0.000 0.000 0.000 (multiplicity 4)
In 0.000 0.239 0.250 (multiplicity 4)
In 0.155 0.255 0.418 (multiplicity 8)
In 0.169 0.028 0.677 (multiplicity 8)
Ga 0.000 0.337 0.750 (multiplicity 4)
Pb 0.089 0.363 0.947 (multiplicity 8)
Pb 0.238 0.416 0.144 (multiplicity 8)

Computed properties:
Formation energy = 0.0564 eV per atom
DOS at the Fermi energy = 17.2 states/eV per cell



Entry 22:
Density functional theory data (PBE) for a relaxed MnBiSCl2 crystal.

Cell: 4.792 4.792 4.969 Å, 90.00 90.00 90.00°
Space group P4/mmm (No. 123)
One atom of each set of equivalent atoms:
Mn 0.000 0.000 0.000 (multiplicity 1)
Bi 0.500 0.500 0.500 (multiplicity 1)
S 0.000 0.000 0.500 (multiplicity 1)
Cl 0.000 0.500 0.000 (multiplicity 2)

Computed properties:
DOS at the Fermi energy = 3.1 states/eV per cell
Energy relative to the elements, uncorrected = -0.317 eV per atom



Entry 23:
Density functional theory data (PBE) for a relaxed ZrTaCu2 crystal.

Cell: 2.8768 2.8768 27.8902 Å, 90.00 90.00 120.00°
Space group R-3m (No. 166, hexagonal axes)
One atom of each set of equivalent atoms:
Zr 0.0000 0.0000 0.0000 (multiplicity 3)
Ta 0.0000 0.0000 0.5000 (multiplicity 3)
Cu 0.0000 0.0000 0.2467 (multiplicity 6)

Computed properties:
Formation energy = 0.2539 eV per atom
DOS at the Fermi energy = 14.8 states/eV per cell



Entry 24:
Density functional theory data (PBE) for a relaxed LiMn4As crystal.

Cell: 6.618 6.618 6.618 Å, 90.00 90.00 90.00°
Space group F-43m (No. 216)
One atom of each set of equivalent atoms:
Li 0.000 0.000 0.000 (multiplicity 4)
Mn 0.125 0.125 0.625 (multiplicity 16)
As 0.250 0.250 0.250 (multiplicity 4)

Computed properties:
Formation energy = 0.3394 eV per atom
DOS at the Fermi energy = 25.9 states/eV per cell



Entry 25:
Density functional theory data (PBE) for a relaxed LiPm4Hg5 crystal.

Cell: 3.752 3.752 18.651 Å, 90.00 90.00 90.00°
Space group P4/mmm (No. 123)
One atom of each set of equivalent atoms:
Li 0.000 0.000 0.000 (multiplicity 1)
Pm 0.000 0.000 0.188 (multiplicity 2)
Pm 0.000 0.000 0.395 (multiplicity 2)
Hg 0.500 0.500 0.084 (multiplicity 2)
Hg 0.500 0.500 0.292 (multiplicity 2)
Hg 0.500 0.500 0.500 (multiplicity 1)

Computed properties:
Formation energy = -0.4348 eV per atom
DOS at the Fermi energy = 10.5 states/eV per cell